1.
A relaxed AlReBi2 crystal. Source: Alexandria via LeMat-Bulk, functional PBE-GGA.

```
data_AlReBi2
_chemical_formula_sum 'Al2 Re2 Bi4'
_symmetry_space_group_name_H-M 'P 1'
_symmetry_Int_Tables_number 1
_cell_length_a 6.3473
_cell_length_b 6.3473
_cell_length_c 7.8632
_cell_angle_alpha 66.20
_cell_angle_beta 66.20
_cell_angle_gamma 90.00
loop_
_symmetry_equiv_pos_as_xyz
'x,y,z'
loop_
_atom_site_label
_atom_site_type_symbol
_atom_site_fract_x
_atom_site_fract_y
_atom_site_fract_z
Bi1 Bi 0.0994 0.6250 0.2500
Bi2 Bi 0.3750 0.3494 0.7500
Bi3 Bi 0.6506 0.1250 0.2500
Bi4 Bi 0.8750 0.9006 0.7500
Re1 Re 0.0000 0.0000 0.0000
Re2 Re 0.7500 0.2500 0.5000
Al1 Al 0.5000 0.5000 0.0000
Al2 Al 0.2500 0.7500 0.5000
```

Output
**Space group**: No. 122
**E_form**: 1.050 eV/atom
**Total magnetization**: 0.0 μB per formula unit

***

2.
A relaxed HoTmMgGa crystal. Source: Alexandria via LeMat-Bulk, functional PBE-GGA.

```
data_HoTmMgGa
_chemical_formula_sum 'Ho1 Tm1 Mg1 Ga1'
_symmetry_space_group_name_H-M 'P 1'
_symmetry_Int_Tables_number 1
_cell_length_a 5.1184
_cell_length_b 5.1184
_cell_length_c 5.1184
_cell_angle_alpha 60.00
_cell_angle_beta 60.00
_cell_angle_gamma 60.00
loop_
_symmetry_equiv_pos_as_xyz
'x,y,z'
loop_
_atom_site_label
_atom_site_type_symbol
_atom_site_fract_x
_atom_site_fract_y
_atom_site_fract_z
Mg1 Mg 0.7500 0.7500 0.7500
Ga1 Ga 0.2500 0.2500 0.2500
Ho1 Ho 0.0000 0.0000 0.0000
Tm1 Tm 0.5000 0.5000 0.5000
```

Output
**Space group**: No. 216
**E_form**: -0.326 eV/atom
**Total magnetization**: 0.0 μB per formula unit

***

3.
A relaxed Cu3C crystal. Source: Alexandria via LeMat-Bulk, functional PBE-GGA.

```
data_Cu3C
_chemical_formula_sum 'Cu3 C1'
_symmetry_space_group_name_H-M 'P 1'
_symmetry_Int_Tables_number 1
_cell_length_a 2.6080
_cell_length_b 2.6080
_cell_length_c 6.1110
_cell_angle_alpha 90.00
_cell_angle_beta 90.00
_cell_angle_gamma 90.00
loop_
_symmetry_equiv_pos_as_xyz
'x,y,z'
loop_
_atom_site_label
_atom_site_type_symbol
_atom_site_fract_x
_atom_site_fract_y
_atom_site_fract_z
Cu1 Cu 0.5000 0.5000 0.2012
Cu2 Cu 0.0000 0.0000 0.5000
Cu3 Cu 0.5000 0.5000 0.7988
C1 C 0.0000 0.0000 0.0000
```

Output
**Space group**: No. 123
**E_form**: 0.871 eV/atom
**Total magnetization**: 0.0 μB per formula unit

***

4.
A relaxed SrSb2Os crystal. Source: Alexandria via LeMat-Bulk, functional PBE-GGA.

```
data_SrSb2Os
_chemical_formula_sum 'Sr1 Sb2 Os1'
_symmetry_space_group_name_H-M 'P 1'
_symmetry_Int_Tables_number 1
_cell_length_a 5.7915
_cell_length_b 5.7915
_cell_length_c 5.7915
_cell_angle_alpha 135.45
_cell_angle_beta 135.45
_cell_angle_gamma 64.83
loop_
_symmetry_equiv_pos_as_xyz
'x,y,z'
loop_
_atom_site_label
_atom_site_type_symbol
_atom_site_fract_x
_atom_site_fract_y
_atom_site_fract_z
Os1 Os 0.7500 0.2500 0.5000
Sb1 Sb 0.0000 0.0000 0.0000
Sb2 Sb 0.2500 0.7500 0.5000
Sr1 Sr 0.5000 0.5000 0.0000
```

Output
**E above lowest polymorph**: 661 meV/atom
**Raw formation energy**: 1.7 eV per formula unit
**Space group**: No. 119
**Total magnetization**: 0.0 μB per formula unit

***

5.
A relaxed AlCr2Cd crystal. Source: Alexandria via LeMat-Bulk, functional PBE-GGA.

```
data_AlCr2Cd
_chemical_formula_sum 'Al1 Cr2 Cd1'
_symmetry_space_group_name_H-M 'P 1'
_symmetry_Int_Tables_number 1
_cell_length_a 4.1378
_cell_length_b 2.6918
_cell_length_c 5.7931
_cell_angle_alpha 68.52
_cell_angle_beta 90.00
_cell_angle_gamma 90.00
loop_
_symmetry_equiv_pos_as_xyz
'x,y,z'
loop_
_atom_site_label
_atom_site_type_symbol
_atom_site_fract_x
_atom_site_fract_y
_atom_site_fract_z
Cr1 Cr 0.0000 0.5052 0.4445
Cr2 Cr 0.0000 0.9948 0.0555
Al1 Al 0.5000 0.2500 0.2500
Cd1 Cd 0.5000 0.7500 0.7500
```

Output
**Space group**: No. 10
**E_form**: 0.320 eV/atom
**Total magnetization**: 0.0 μB per formula unit

***

6.
A relaxed Rb3U2MnSe9 crystal. Source: Alexandria via LeMat-Bulk, functional PBE-GGA.

```
data_Rb3U2MnSe9
_chemical_formula_sum 'Rb3 U2 Mn1 Se9'
_symmetry_space_group_name_H-M 'P 1'
_symmetry_Int_Tables_number 1
_cell_length_a 7.5350
_cell_length_b 7.5350
_cell_length_c 9.2301
_cell_angle_alpha 90.00
_cell_angle_beta 90.00
_cell_angle_gamma 120.00
loop_
_symmetry_equiv_pos_as_xyz
'x,y,z'
loop_
_atom_site_label
_atom_site_type_symbol
_atom_site_fract_x
_atom_site_fract_y
_atom_site_fract_z
Se1 Se 0.3263 0.1632 0.6647
Se2 Se 0.8368 0.6737 0.6647
Se3 Se 0.5000 0.5000 0.0000
Se4 Se 0.5000 0.0000 0.0000
Se5 Se 0.8368 0.1632 0.6647
Se6 Se 0.1632 0.3263 0.3353
Se7 Se 0.6737 0.8368 0.3353
Se8 Se 0.0000 0.5000 0.0000
Se9 Se 0.1632 0.8368 0.3353
U1 U 0.3333 0.6667 0.1810
U2 U 0.6667 0.3333 0.8190
Rb1 Rb 0.0000 0.0000 0.0000
Rb2 Rb 0.3333 0.6667 0.6639
Rb3 Rb 0.6667 0.3333 0.3361
Mn1 Mn 0.0000 0.0000 0.5000
```

Output
**Raw formation energy**: -14.6 eV per formula unit
**Space group**: No. 164
**Total magnetization**: 4.8 μB per formula unit

***

7.
A relaxed LiCeMgTl crystal. Source: Alexandria via LeMat-Bulk, functional PBE-GGA.

```
data_LiCeMgTl
_chemical_formula_sum 'Li1 Ce1 Mg1 Tl1'
_symmetry_space_group_name_H-M 'P 1'
_symmetry_Int_Tables_number 1
_cell_length_a 5.1947
_cell_length_b 5.1947
_cell_length_c 5.1947
_cell_angle_alpha 60.00
_cell_angle_beta 60.00
_cell_angle_gamma 60.00
loop_
_symmetry_equiv_pos_as_xyz
'x,y,z'
loop_
_atom_site_label
_atom_site_type_symbol
_atom_site_fract_x
_atom_site_fract_y
_atom_site_fract_z
Li1 Li 0.0000 0.0000 0.0000
Tl1 Tl 0.5000 0.5000 0.5000
Ce1 Ce 0.7500 0.7500 0.7500
Mg1 Mg 0.2500 0.2500 0.2500
```

Output
**Space group**: No. 216
**E_form**: -0.127 eV/atom
**Total magnetization**: 1.2 μB per formula unit

***

8.
A relaxed LuCr2Fe10 crystal. Source: Alexandria via LeMat-Bulk, functional PBE-GGA.

```
data_LuCr2Fe10
_chemical_formula_sum 'Lu1 Cr2 Fe10'
_symmetry_space_group_name_H-M 'P 1'
_symmetry_Int_Tables_number 1
_cell_length_a 6.3370
_cell_length_b 6.3370
_cell_length_c 6.3370
_cell_angle_alpha 136.87
_cell_angle_beta 98.36
_cell_angle_gamma 97.17
loop_
_symmetry_equiv_pos_as_xyz
'x,y,z'
loop_
_atom_site_label
_atom_site_type_symbol
_atom_site_fract_x
_atom_site_fract_y
_atom_site_fract_z
Fe1 Fe 0.0000 0.0000 0.5000
Fe2 Fe 0.3575 0.0000 0.3575
Fe3 Fe 0.7797 0.5000 0.2797
Fe4 Fe 0.0000 0.5000 0.0000
Fe5 Fe 0.7721 0.2721 0.5000
Fe6 Fe 0.2203 0.5000 0.7203
Fe7 Fe 0.6425 0.0000 0.6425
Fe8 Fe 0.2279 0.7279 0.5000
Fe9 Fe 0.5000 0.5000 0.5000
Fe10 Fe 0.5000 0.0000 0.0000
Cr1 Cr 0.6319 0.6319 0.0000
Cr2 Cr 0.3681 0.3681 0.0000
Lu1 Lu 0.0000 0.0000 0.0000
```

Output
**Space group**: No. 71
**E_form**: -0.015 eV/atom
**Total magnetization**: 17.1 μB per formula unit

***

9.
A relaxed Pr6P4Pb crystal. Source: Alexandria via LeMat-Bulk, functional PBE-GGA.

```
data_Pr6P4Pb
_chemical_formula_sum 'Pr12 P8 Pb2'
_symmetry_space_group_name_H-M 'P 1'
_symmetry_Int_Tables_number 1
_cell_length_a 4.2271
_cell_length_b 7.2772
_cell_length_c 21.6023
_cell_angle_alpha 90.00
_cell_angle_beta 90.00
_cell_angle_gamma 106.88
loop_
_symmetry_equiv_pos_as_xyz
'x,y,z'
loop_
_atom_site_label
_atom_site_type_symbol
_atom_site_fract_x
_atom_site_fract_y
_atom_site_fract_z
Pr1 Pr 0.5000 0.0000 0.0000
Pr2 Pr 0.5000 0.0000 0.5000
Pr3 Pr 0.9596 0.9193 0.8433
Pr4 Pr 0.7731 0.5462 0.0808
Pr5 Pr 0.6617 0.3235 0.7500
Pr6 Pr 0.9596 0.9193 0.6567
Pr7 Pr 0.0404 0.0807 0.1567
Pr8 Pr 0.3383 0.6765 0.2500
Pr9 Pr 0.2269 0.4538 0.9192
Pr10 Pr 0.7731 0.5462 0.4192
Pr11 Pr 0.2269 0.4538 0.5808
Pr12 Pr 0.0404 0.0807 0.3433
P1 P 0.1377 0.2754 0.4590
P2 P 0.5914 0.1829 0.6243
P3 P 0.8623 0.7246 0.5410
P4 P 0.8623 0.7246 0.9590
P5 P 0.5914 0.1829 0.8757
P6 P 0.1377 0.2754 0.0410
P7 P 0.4086 0.8171 0.1243
P8 P 0.4086 0.8171 0.3757
Pb1 Pb 0.3374 0.6748 0.7500
Pb2 Pb 0.6626 0.3252 0.2500
```

Output
**Space group**: No. 63
**E_form**: -1.266 eV/atom
**Total magnetization**: 0.8 μB per formula unit

***

10.
A relaxed SmTm2TaO8 crystal. Source: Alexandria via LeMat-Bulk, functional PBE-GGA.

```
data_SmTm2TaO8
_chemical_formula_sum 'Sm1 Tm2 Ta1 O8'
_symmetry_space_group_name_H-M 'P 1'
_symmetry_Int_Tables_number 1
_cell_length_a 5.0228
_cell_length_b 5.0291
_cell_length_c 6.9235
_cell_angle_alpha 90.00
_cell_angle_beta 90.00
_cell_angle_gamma 90.35
loop_
_symmetry_equiv_pos_as_xyz
'x,y,z'
loop_
_atom_site_label
_atom_site_type_symbol
_atom_site_fract_x
_atom_site_fract_y
_atom_site_fract_z
Ta1 Ta 0.0000 0.0000 0.0000
Tm1 Tm 0.5000 0.5000 0.7564
Tm2 Tm 0.5000 0.5000 0.2436
Sm1 Sm 0.0000 0.0000 0.5000
O1 O 0.2845 0.2840 0.0000
O2 O 0.8115 0.1888 0.7857
O3 O 0.1885 0.8112 0.7857
O4 O 0.6818 0.6824 0.5000
O5 O 0.1885 0.8112 0.2143
O6 O 0.7155 0.7160 0.0000
O7 O 0.8115 0.1888 0.2143
O8 O 0.3182 0.3176 0.5000
```

Output
**Raw formation energy**: -35.1 eV per formula unit
**Space group**: No. 65
**Total magnetization**: 2.0 μB per formula unit

***

11.
A relaxed NaAc2Cd4In3 crystal. Source: Alexandria via LeMat-Bulk, functional PBE-GGA.

```
data_NaAc2Cd4In3
_chemical_formula_sum 'Na1 Ac2 Cd4 In3'
_symmetry_space_group_name_H-M 'P 1'
_symmetry_Int_Tables_number 1
_cell_length_a 4.8177
_cell_length_b 4.8177
_cell_length_c 12.2424
_cell_angle_alpha 90.00
_cell_angle_beta 90.00
_cell_angle_gamma 90.00
loop_
_symmetry_equiv_pos_as_xyz
'x,y,z'
loop_
_atom_site_label
_atom_site_type_symbol
_atom_site_fract_x
_atom_site_fract_y
_atom_site_fract_z
Cd1 Cd 0.5000 0.5000 0.0000
Cd2 Cd 0.0000 0.0000 0.0000
Cd3 Cd 0.5000 0.0000 0.6361
Cd4 Cd 0.0000 0.5000 0.3639
Ac1 Ac 0.5000 0.0000 0.2340
Ac2 Ac 0.0000 0.5000 0.7660
In1 In 0.0000 0.5000 0.1365
In2 In 0.5000 0.0000 0.8635
In3 In 0.0000 0.0000 0.5000
Na1 Na 0.5000 0.5000 0.5000
```

Output
**Space group**: No. 115
**E_form**: -0.266 eV/atom
**Total magnetization**: 0.0 μB per formula unit

***

12.
A relaxed CsTlSnPSe crystal. Source: Alexandria via LeMat-Bulk, functional PBE-GGA.

```
data_CsTlSnPSe
_chemical_formula_sum 'Cs1 Tl1 Sn1 P1 Se1'
_symmetry_space_group_name_H-M 'P 1'
_symmetry_Int_Tables_number 1
_cell_length_a 4.0601
_cell_length_b 5.4804
_cell_length_c 8.9828
_cell_angle_alpha 72.85
_cell_angle_beta 76.97
_cell_angle_gamma 89.98
loop_
_symmetry_equiv_pos_as_xyz
'x,y,z'
loop_
_atom_site_label
_atom_site_type_symbol
_atom_site_fract_x
_atom_site_fract_y
_atom_site_fract_z
Se1 Se 0.3917 0.1676 0.9471
Sn1 Sn 0.5298 0.5484 0.6708
Cs1 Cs 0.7838 0.5351 0.1606
Tl1 Tl 0.9935 0.9702 0.7435
P1 P 0.1077 0.4456 0.5146
```

Output
**E above lowest polymorph**: 5 meV/atom
**Raw formation energy**: -1.8 eV per formula unit
**Space group**: No. 8
**Total magnetization**: 0.0 μB per formula unit